No. 1
Entry from Alexandria: a geometry-optimized CaAu2Cl structure (PBE-GGA).

## Properties
As for the excess energy over the best structure of this formula in the dataset: 0.080 eV per atom. Its density of states at the Fermi level is 0.343 states/eV per atom. The value obtained for the formation energy from raw total energies is -0.92 eV per atom.

Cell and atoms, written as CIF:
```
data_CaAu2Cl
_chemical_formula_sum 'Ca1 Au2 Cl1'
_symmetry_space_group_name_H-M 'P 4/m m m'
_symmetry_Int_Tables_number 123
_symmetry_space_group_name_Hall '-P 4 2'
_cell_length_a 3.9392
_cell_length_b 3.9392
_cell_length_c 5.7465
_cell_angle_alpha 90.00
_cell_angle_beta 90.00
_cell_angle_gamma 90.00
loop_
_atom_site_label
_atom_site_type_symbol
_atom_site_fract_x
_atom_site_fract_y
_atom_site_fract_z
_atom_site_occupancy
Ca1 Ca 0.0000 0.0000 0.0000 1
Au1 Au 0.0000 0.5000 0.5000 1
Cl1 Cl 0.5000 0.5000 0.0000 1
```

No. 2
Entry from Alexandria: a geometry-optimized Ca2AuCl structure (PBE-GGA).

## Properties
As for the excess energy over the best structure of this formula in the dataset: 0.260 eV per atom. Its density of states at the Fermi level is 0.555 states/eV per atom. The value obtained for the formation energy from raw total energies is -0.96 eV per atom.

Cell and atoms, written as CIF:
```
data_Ca2AuCl
_chemical_formula_sum 'Ca4 Au2 Cl2'
_symmetry_space_group_name_H-M 'I -4 m 2'
_symmetry_Int_Tables_number 119
_symmetry_space_group_name_Hall 'I -4 -2'
_cell_length_a 4.1598
_cell_length_b 4.1598
_cell_length_c 12.9855
_cell_angle_alpha 90.00
_cell_angle_beta 90.00
_cell_angle_gamma 90.00
loop_
_atom_site_label
_atom_site_type_symbol
_atom_site_fract_x
_atom_site_fract_y
_atom_site_fract_z
_atom_site_occupancy
Ca1 Ca 0.0000 0.0000 0.0000 1
Ca2 Ca 0.0000 0.5000 0.2500 1
Au1 Au 0.0000 0.0000 0.5000 1
Cl1 Cl 0.0000 0.5000 0.7500 1
```

No. 3
Entry from Alexandria: a geometry-optimized CaAuCl3 structure (PBE-GGA).

## Properties
As for the excess energy over the best structure of this formula in the dataset: 0.162 eV per atom. Its density of states at the Fermi level is 0.234 states/eV per atom. The value obtained for the formation energy from raw total energies is -0.82 eV per atom.

Cell and atoms, written as CIF:
```
data_CaAuCl3
_chemical_formula_sum 'Ca1 Au1 Cl3'
_symmetry_space_group_name_H-M 'P m -3 m'
_symmetry_Int_Tables_number 221
_symmetry_space_group_name_Hall '-P 4 2 3'
_cell_length_a 5.1775
_cell_length_b 5.1775
_cell_length_c 5.1775
_cell_angle_alpha 90.00
_cell_angle_beta 90.00
_cell_angle_gamma 90.00
loop_
_atom_site_label
_atom_site_type_symbol
_atom_site_fract_x
_atom_site_fract_y
_atom_site_fract_z
_atom_site_occupancy
Ca1 Ca 0.0000 0.0000 0.0000 1
Au1 Au 0.5000 0.5000 0.5000 1
Cl1 Cl 0.0000 0.5000 0.5000 1
```

No. 4
Entry from Alexandria: a geometry-optimized Ca2AuCl structure (PBE-GGA).

## Properties
As for the excess energy over the best structure of this formula in the dataset: 0.795 eV per atom. Its density of states at the Fermi level is 0.179 states/eV per atom. The value obtained for the formation energy from raw total energies is -0.42 eV per atom.

Cell and atoms, written as CIF:
```
data_Ca2AuCl
_chemical_formula_sum 'Ca8 Au4 Cl4'
_symmetry_space_group_name_H-M 'F -4 3 m'
_symmetry_Int_Tables_number 216
_symmetry_space_group_name_Hall 'F -4 2 3'
_cell_length_a 7.5586
_cell_length_b 7.5586
_cell_length_c 7.5586
_cell_angle_alpha 90.00
_cell_angle_beta 90.00
_cell_angle_gamma 90.00
loop_
_atom_site_label
_atom_site_type_symbol
_atom_site_fract_x
_atom_site_fract_y
_atom_site_fract_z
_atom_site_occupancy
Ca1 Ca 0.0000 0.0000 0.0000 1
Ca2 Ca 0.2500 0.2500 0.2500 1
Au1 Au 0.0000 0.0000 0.5000 1
Cl1 Cl 0.2500 0.2500 0.7500 1
```

no.,electronic total energy (eV per atom)
1,-3.520
2,-3.240
3,-2.984
4,-2.705